Ba2Tl2In15: optimized geometry, GGA-PBE.

Cell and atoms, written as POSCAR:
```
Ba2Tl2In15
1.0
-2.0134 6.2448 -5.1666
2.3792 -3.6210 -7.1396
-7.4805 -2.8560 -2.3728
In Tl Ba
15 2 2
direct
0.5000 0.0000 0.0000 In
0.8430 0.3597 0.3597 In
0.0000 0.5000 0.0000 In
0.7031 0.0000 0.2969 In
0.3597 0.3597 0.8430 In
0.6403 0.1570 0.6403 In
0.7031 0.2969 0.0000 In
0.2969 0.0000 0.7031 In
0.0000 0.7031 0.2969 In
0.1570 0.6403 0.6403 In
0.3597 0.8430 0.3597 In
0.2969 0.7031 0.0000 In
0.0000 0.0000 0.5000 In
0.6403 0.6403 0.1570 In
0.0000 0.2969 0.7031 In
0.8983 0.8983 0.8983 Tl
0.1017 0.1017 0.1017 Tl
0.6574 0.6574 0.6574 Ba
0.3426 0.3426 0.3426 Ba
```

Computed properties:
Density of states at the Fermi level: 10.24 states/eV per cell
Uncorrected energy: -52.26 eV per cell
Space group: R-3m

SrNdMg2: optimized geometry, GGA-PBE.

Cell and atoms, written as POSCAR:
```
SrNdMg2
1.0
-1.3300 -3.3944 1.7595
3.3024 -0.0811 2.3397
-3.8024 4.3502 5.5178
Mg Nd Sr
2 1 1
direct
0.0000 0.0000 0.2220 Mg
0.0000 0.0000 0.7780 Mg
0.5000 0.5000 0.0000 Nd
0.5000 0.5000 0.5000 Sr
```

Computed properties:
Density of states at the Fermi level: 4.32 states/eV per cell
Uncorrected energy: -9.90 eV per cell
Space group: P4/mmm

ZrMnV3: optimized geometry, GGA-PBE.

Cell and atoms, written as POSCAR:
```
ZrMnV3
1.0
-0.8428 1.1654 -4.1117
-4.0476 -1.5627 0.3867
-1.3716 3.8955 1.3853
Zr Mn V
1 1 3
direct
0.5000 0.5000 0.5000 Zr
0.0000 0.0000 0.0000 Mn
0.0000 0.0000 0.5000 V
0.5000 0.0000 0.0000 V
0.0000 0.5000 0.0000 V
```

Computed properties:
Density of states at the Fermi level: 5.67 states/eV per cell
Uncorrected energy: -42.69 eV per cell
Space group: Pm-3m

| no. | calculated formation energy (kJ/mol of formula units) |
| --- | --- |
| 1 | -251.1 |
| 2 | -25.5 |
| 3 | 230.0 |